[1]
First-principles (PBE) data for ScGaPd after structural relaxation, as listed in the Open Quantum Materials Database.

Structure (extended XYZ):
```
12
Lattice="4.9965 0.0000 0.0000 0.0000 4.3217 0.0000 0.0000 0.0000 9.9879" Properties=species:S:1:pos:R:3 pbc="T T T"
Sc 1.2002 1.0804 1.5565
Sc 1.2981 3.2412 6.5504
Sc 3.6985 1.0804 3.4375
Sc 3.7963 3.2412 8.4315
Ga 0.7513 1.0804 8.5916
Ga 1.7470 3.2412 3.5976
Ga 3.2496 1.0804 6.3903
Ga 4.2452 3.2412 1.3964
Pd 0.9662 1.0804 4.6544
Pd 1.5320 3.2412 9.6483
Pd 3.4645 1.0804 0.3396
Pd 4.0303 3.2412 5.3336
```

Calculated values
Volume ... 17.973 Å³/atom
VASP energy ... -5.51 eV/atom
Crystal system ... orthorhombic


[2]
First-principles (PBE) data for ScGaPd after structural relaxation, as listed in the Open Quantum Materials Database.

Structure (extended XYZ):
```
12
Lattice="6.2915 0.0000 0.0000 0.0000 4.4062 0.0000 0.0000 0.0000 7.6096" Properties=species:S:1:pos:R:3 pbc="T T T"
Sc 0.0410 1.1015 1.6809
Sc 3.1048 3.3046 5.4857
Sc 3.1867 1.1015 2.1239
Sc 6.2505 3.3046 5.9286
Ga 1.3015 1.1015 4.4345
Ga 1.8442 3.3046 0.6297
Ga 4.4472 1.1015 6.9799
Ga 4.9900 3.3046 3.1751
Pd 1.4564 3.3046 3.1517
Pd 1.6894 1.1015 6.9565
Pd 4.6021 3.3046 0.6531
Pd 4.8351 1.1015 4.4579
```

Calculated values
Volume ... 17.579 Å³/atom
VASP energy ... -5.70 eV/atom
Crystal system ... orthorhombic


[3]
First-principles (PBE) data for TmScGa2Pd4 after structural relaxation, as listed in the Open Quantum Materials Database.

Structure (extended XYZ):
```
8
Lattice="4.3509 0.0000 0.0000 -2.1755 3.7680 0.0000 0.0000 0.0000 8.7790" Properties=species:S:1:pos:R:3 pbc="T T T"
Tm 0.0000 0.0000 0.0000
Sc 0.0000 2.5120 4.3895
Ga 2.1755 1.2560 2.2882
Ga 2.1755 1.2560 6.4908
Pd 0.0000 0.0000 2.9813
Pd 0.0000 0.0000 5.7977
Pd 0.0000 2.5120 1.4997
Pd 0.0000 2.5120 7.2793
```

Calculated values
Volume ... 17.991 Å³/atom
VASP energy ... -5.57 eV/atom
Crystal system ... hexagonal


[4]
First-principles (PBE) data for YScGa2Pd4 after structural relaxation, as listed in the Open Quantum Materials Database.

Structure (extended XYZ):
```
8
Lattice="4.3653 0.0000 0.0000 -2.1826 3.7804 0.0000 0.0000 0.0000 8.8496" Properties=species:S:1:pos:R:3 pbc="T T T"
Y 0.0000 0.0000 0.0000
Sc 2.1826 1.2601 4.4248
Ga 0.0000 2.5203 2.3016
Ga 0.0000 2.5203 6.5480
Pd 0.0000 0.0000 3.0207
Pd 0.0000 0.0000 5.8289
Pd 2.1826 1.2601 1.5534
Pd 2.1826 1.2601 7.2963
```

Calculated values
Volume ... 18.255 Å³/atom
VASP energy ... -5.81 eV/atom
Crystal system ... hexagonal


One value per record, in order, for ρ: 6.81; 6.96; 8.99; 7.95 g/cm3.
One value per record, in order, for magnetic moment: 0.0; 0.0; 0.0; 0.0 μB per formula unit.